(1)
# LaDyYTm2 (GGA-PBE, relaxed)
data_LaDyYTm2
_chemical_formula_sum 'La2 Dy2 Y2 Tm4'
_cell_length_a 7.116
_cell_length_b 7.116
_cell_length_c 7.226
_cell_angle_alpha 90.00
_cell_angle_beta 90.00
_cell_angle_gamma 107.74
_space_group_name_H-M_alt 'P 1'
_space_group_IT_number 1
loop_
_space_group_symop_operation_xyz
'x,y,z'
loop_
_atom_site_label
_atom_site_type_symbol
_atom_site_fract_x
_atom_site_fract_y
_atom_site_fract_z
La1 La 0.233 0.767 0.750
La2 La 0.767 0.233 0.250
Dy1 Dy 0.215 0.785 0.250
Dy2 Dy 0.785 0.215 0.750
Y1 Y 0.495 0.505 0.250
Y2 Y 0.505 0.495 0.750
Tm1 Tm 0.188 0.188 0.000
Tm2 Tm 0.188 0.188 0.500
Tm3 Tm 0.812 0.812 0.000
Tm4 Tm 0.812 0.812 0.500
# * uncorrected energy: -4.623 eV per atom
# * DOS at the Fermi energy: 1.33 states/eV/atom
# * formation enthalpy at 0 K: 0.36 eV per atom

***

(2)
# LaDy3YTm (GGA-PBE, relaxed)
data_LaDy3YTm
_chemical_formula_sum 'La2 Dy6 Y2 Tm2'
_cell_length_a 10.242
_cell_length_b 10.242
_cell_length_c 7.038
_cell_angle_alpha 91.04
_cell_angle_beta 91.04
_cell_angle_gamma 32.18
_space_group_name_H-M_alt 'P 1'
_space_group_IT_number 1
loop_
_space_group_symop_operation_xyz
'x,y,z'
loop_
_atom_site_label
_atom_site_type_symbol
_atom_site_fract_x
_atom_site_fract_y
_atom_site_fract_z
La1 La 0.144 0.144 0.023
La2 La 0.856 0.856 0.977
Dy1 Dy 0.023 0.023 0.732
Dy2 Dy 0.280 0.280 0.756
Dy3 Dy 0.337 0.337 0.280
Dy4 Dy 0.663 0.663 0.720
Dy5 Dy 0.720 0.720 0.244
Dy6 Dy 0.977 0.977 0.268
Y1 Y 0.448 0.448 0.728
Y2 Y 0.552 0.552 0.272
Tm1 Tm 0.149 0.149 0.456
Tm2 Tm 0.851 0.851 0.544
# * uncorrected energy: -4.736 eV per atom
# * DOS at the Fermi energy: 1.63 states/eV/atom
# * formation enthalpy at 0 K: 0.21 eV per atom

***

Which of these has the highest formation enthalpy at 0 K?
LaDyYTm2

***

Among the records above, which one has the lowest DOS at the Fermi energy?
LaDyYTm2

***

The lowest uncorrected energy belongs to which entry?
LaDy3YTm